1.
CsLi2Br2 | PBE | relaxed

- DOS at the Fermi energy: 3.00 states/eV/cell
- Raw total energy: -2.755 eV per atom

Geometry as CIF:
```
data_CsLi2Br2
_chemical_formula_sum 'Cs2 Li4 Br4'
_cell_length_a 4.6987
_cell_length_b 4.6987
_cell_length_c 21.0648
_cell_angle_alpha 90.00
_cell_angle_beta 90.00
_cell_angle_gamma 90.00
_space_group_name_H-M_alt 'I 4/m m m'
_space_group_IT_number 139
_space_group_name_Hall '-I 4 2'
loop_
_atom_site_label
_atom_site_type_symbol
_atom_site_fract_x
_atom_site_fract_y
_atom_site_fract_z
Cs1 Cs 0.0000 0.0000 0.0000
Li1 Li 0.0000 0.5000 0.2500
Br1 Br 0.0000 0.0000 0.3028
```



2.
Cs3LiBr3 | PBE | relaxed

- DOS at the Fermi energy: 6.16 states/eV/cell
- Raw total energy: -2.766 eV per atom

Geometry as CIF:
```
data_Cs3LiBr3
_chemical_formula_sum 'Cs12 Li4 Br12'
_cell_length_a 9.2528
_cell_length_b 18.6612
_cell_length_c 9.5769
_cell_angle_alpha 90.00
_cell_angle_beta 113.24
_cell_angle_gamma 90.00
_space_group_name_H-M_alt 'C 1 2/m 1'
_space_group_IT_number 12
_space_group_name_Hall '-C 2y'
loop_
_atom_site_label
_atom_site_type_symbol
_atom_site_fract_x
_atom_site_fract_y
_atom_site_fract_z
Cs1 Cs 0.0000 0.1807 0.0000
Cs2 Cs 0.0000 0.2348 0.5000
Cs3 Cs 0.0740 0.5000 0.2812
Li1 Li 0.1119 0.0000 0.2063
Br1 Br 0.1852 0.0000 0.9615
Br2 Br 0.2320 0.1091 0.3748
```



3.
Cs3LiBr6 | PBE | relaxed

- DOS at the Fermi energy: 92.43 states/eV/cell
- Raw total energy: -2.609 eV per atom

Geometry as CIF:
```
data_Cs3LiBr6
_chemical_formula_sum 'Cs12 Li4 Br24'
_cell_length_a 12.1209
_cell_length_b 12.1209
_cell_length_c 12.1209
_cell_angle_alpha 90.00
_cell_angle_beta 90.00
_cell_angle_gamma 90.00
_space_group_name_H-M_alt 'F m -3 m'
_space_group_IT_number 225
_space_group_name_Hall '-F 4 2 3'
loop_
_atom_site_label
_atom_site_type_symbol
_atom_site_fract_x
_atom_site_fract_y
_atom_site_fract_z
Cs1 Cs 0.0000 0.0000 0.0000
Cs2 Cs 0.2500 0.2500 0.2500
Li1 Li 0.0000 0.0000 0.5000
Br1 Br 0.0000 0.0000 0.2819
```